Compound: Pu5NpSe6
Source: Alexandria via LeMat-Bulk
Functional: PBE
Structure: relaxed

abc: 7.1781 7.1781 7.1796
angles: 99.59 99.59 120.04
Last column: magnetic moment on the atom in μB.
Fractional coordinates of all 12 atoms:
Np1 0.0000 0.0000 0.0000  4.16
Se1 0.4148 0.0828 0.2488  -0.10
Se2 0.9172 0.5852 0.7512  -0.10
Se3 0.2484 0.2484 0.7504  -0.10
Se4 0.7516 0.7516 0.2496  -0.10
Se5 0.0828 0.4148 0.2488  -0.10
Se6 0.5852 0.9172 0.7512  -0.10
Pu1 0.8327 0.1673 0.5000  5.47
Pu2 0.6664 0.3336 0.0000  5.47
Pu3 0.5000 0.5000 0.5000  5.47
Pu4 0.3336 0.6664 0.0000  5.47
Pu5 0.1673 0.8327 0.5000  5.47

Values from the calculation:
Space group: C2/m



Compound: PuNp2Se4
Source: Alexandria via LeMat-Bulk
Functional: PBE
Structure: relaxed

abc: 4.0457 7.0671 13.7575
angles: 90.00 90.00 106.63
Last column: magnetic moment on the atom in μB.
Fractional coordinates of all 14 atoms:
Pu1 0.6154 0.2308 0.7500  -5.37
Pu2 0.3846 0.7692 0.2500  -5.37
Np1 0.1346 0.2692 0.4354  3.93
Np2 0.8654 0.7308 0.9354  3.93
Np3 0.1346 0.2692 0.0646  3.93
Np4 0.8654 0.7308 0.5646  3.93
Se1 0.7735 0.5470 0.1254  -0.04
Se2 0.7735 0.5470 0.3746  -0.04
Se3 0.2265 0.4530 0.8746  -0.04
Se4 0.2265 0.4530 0.6254  -0.04
Se5 0.9582 0.9165 0.7500  -0.02
Se6 0.0418 0.0835 0.2500  -0.02
Se7 0.5000 0.0000 0.0000  -0.08
Se8 0.5000 0.0000 0.5000  -0.08

Values from the calculation:
Space group: Cmcm



Compound: Pu2NpSe4
Source: Alexandria via LeMat-Bulk
Functional: PBE
Structure: relaxed

abc: 4.0441 7.0906 13.6880
angles: 90.00 90.00 106.57
Last column: magnetic moment on the atom in μB.
Fractional coordinates of all 14 atoms:
Pu1 0.1341 0.2683 0.4329  5.31
Pu2 0.8659 0.7317 0.9329  5.31
Pu3 0.1341 0.2683 0.0671  5.31
Pu4 0.8659 0.7317 0.5671  5.31
Np1 0.6174 0.2348 0.7500  4.07
Np2 0.3826 0.7652 0.2500  4.07
Se1 0.7756 0.5513 0.1262  -0.12
Se2 0.7756 0.5513 0.3738  -0.12
Se3 0.2244 0.4487 0.8738  -0.12
Se4 0.2244 0.4487 0.6262  -0.12
Se5 0.9666 0.9333 0.7500  -0.11
Se6 0.0334 0.0667 0.2500  -0.11
Se7 0.5000 0.0000 0.0000  -0.12
Se8 0.5000 0.0000 0.5000  -0.12

Values from the calculation:
Space group: Cmcm



Compound: PuNp2Se4
Source: Alexandria via LeMat-Bulk
Functional: PBE
Structure: relaxed

abc: 7.5489 7.5483 7.5489
angles: 109.45 109.51 109.45
Last column: magnetic moment on the atom in μB.
Fractional coordinates of all 14 atoms:
Pu1 0.7501 0.5000 0.2499  5.39
Pu2 0.9999 0.0000 0.0001  5.39
Np1 0.3749 0.8752 0.7502  4.08
Np2 0.5002 0.3752 0.6249  4.08
Np3 0.8751 0.1248 0.4999  4.08
Np4 0.2499 0.6248 0.1251  4.08
Se1 0.7738 0.2499 0.8734  -0.10
Se2 0.9762 0.5996 0.7262  -0.10
Se3 0.6235 0.7501 0.5238  -0.10
Se4 0.1265 0.4004 0.3766  -0.10
Se5 0.4762 0.0996 0.2262  -0.10
Se6 0.6234 0.7499 0.0238  -0.10
Se7 0.2738 0.2501 0.8735  -0.10
Se8 0.1266 0.9004 0.3765  -0.10

Values from the calculation:
Space group: I-42d



Compound: PuNp2Se6
Source: Alexandria via LeMat-Bulk
Functional: PBE
Structure: relaxed

abc: 5.2031 5.2031 11.0939
angles: 103.56 103.56 90.00
Last column: magnetic moment on the atom in μB.
Fractional coordinates of all 9 atoms:
Pu1 0.5000 0.5000 0.0000  4.93
Np1 0.1890 0.1890 0.3781  3.44
Np2 0.8110 0.8110 0.6219  3.44
Se1 0.8569 0.3237 0.1807  -0.30
Se2 0.6763 0.6763 0.8193  -0.30
Se3 0.3237 0.8569 0.1807  -0.30
Se4 0.1431 0.1431 0.8193  -0.30
Se5 0.7500 0.2500 0.5000  -0.14
Se6 0.2500 0.7500 0.5000  -0.14

Values from the calculation:
Space group: I-42m



Compound: PuNp3Se6
Source: Alexandria via LeMat-Bulk
Functional: PBE
Structure: relaxed

abc: 4.1372 11.4668 11.9652
angles: 107.88 90.00 90.00
Last column: magnetic moment on the atom in μB.
Fractional coordinates of all 20 atoms:
Pu1 0.7500 0.0475 0.6872  5.30
Pu2 0.2500 0.9525 0.3128  5.30
Np1 0.7500 0.4356 0.8338  -3.84
Np2 0.2500 0.5644 0.1662  -3.84
Np3 0.7500 0.6863 0.5010  3.83
Np4 0.2500 0.3137 0.4990  3.83
Np5 0.7500 0.1535 0.0787  -3.77
Np6 0.2500 0.8465 0.9213  -3.77
Se1 0.7500 0.4839 0.6141  -0.04
Se2 0.2500 0.5161 0.3859  -0.04
Se3 0.7500 0.9131 0.0996  0.05
Se4 0.2500 0.0869 0.9004  0.05
Se5 0.7500 0.3949 0.0591  0.10
Se6 0.2500 0.6051 0.9409  0.10
Se7 0.7500 0.7412 0.2734  0.00
Se8 0.2500 0.2588 0.7266  0.00
Se9 0.7500 0.1178 0.4599  -0.11
Se10 0.2500 0.8822 0.5401  -0.11
Se11 0.7500 0.8054 0.7541  0.03
Se12 0.2500 0.1946 0.2459  0.03

Values from the calculation:
Space group: P2_1/m



Compound: PuNp5Se6
Source: Alexandria via LeMat-Bulk
Functional: PBE
Structure: relaxed

abc: 7.0347 7.0347 7.1868
angles: 99.38 99.38 120.01
Last column: magnetic moment on the atom in μB.
Fractional coordinates of all 12 atoms:
Np1 0.8338 0.1662 0.5000  -3.93
Np2 0.6668 0.3332 0.0000  3.92
Np3 0.5000 0.5000 0.5000  -3.93
Np4 0.3332 0.6668 0.0000  3.92
Np5 0.1662 0.8338 0.5000  -3.93
Se1 0.4176 0.0836 0.2505  0.00
Se2 0.9164 0.5824 0.7495  0.00
Se3 0.2509 0.2509 0.7502  0.00
Se4 0.7491 0.7491 0.2498  0.00
Se5 0.0836 0.4176 0.2505  0.00
Se6 0.5824 0.9164 0.7495  0.00
Pu1 0.0000 0.0000 0.0000  5.30

Values from the calculation:
Space group: C2/m



Compound: PuNp6Se8
Source: Alexandria via LeMat-Bulk
Functional: PBE
Structure: relaxed

abc: 8.1865 8.1865 8.1865
angles: 60.00 60.00 60.00
Last column: magnetic moment on the atom in μB.
Fractional coordinates of all 15 atoms:
Pu1 0.0000 0.0000 0.0000  5.37
Np1 0.0000 0.5000 0.5000  4.05
Np2 0.5000 0.0000 0.0000  4.05
Np3 0.5000 0.5000 0.0000  4.05
Np4 0.0000 0.0000 0.5000  4.05
Np5 0.0000 0.5000 0.0000  4.05
Np6 0.5000 0.0000 0.5000  4.05
Se1 0.7500 0.7500 0.7500  -0.08
Se2 0.2500 0.2500 0.2500  -0.08
Se3 0.7469 0.2531 0.2531  -0.10
Se4 0.2531 0.7469 0.7469  -0.10
Se5 0.2531 0.2531 0.7469  -0.10
Se6 0.7469 0.7469 0.2531  -0.10
Se7 0.7469 0.2531 0.7469  -0.10
Se8 0.2531 0.7469 0.2531  -0.10

Values from the calculation:
Space group: Fm-3m



Compound: Sm2Pu3NpSe6
Source: Alexandria via LeMat-Bulk
Functional: PBE
Structure: relaxed

abc: 4.1360 8.2682 9.3083
angles: 102.76 102.84 90.00
Last column: magnetic moment on the atom in μB.
Fractional coordinates of all 12 atoms:
Sm1 0.8350 0.6680 0.6700  0.00
Sm2 0.1650 0.3320 0.3300  0.00
Pu1 0.5000 0.5000 0.0000  5.40
Pu2 0.8319 0.1661 0.6639  -5.37
Pu3 0.1681 0.8339 0.3361  -5.37
Np1 0.5000 0.0000 0.0000  4.05
Se1 0.3330 0.9194 0.6660  0.04
Se2 0.6672 0.5855 0.3345  0.02
Se3 0.6670 0.0806 0.3340  0.04
Se4 0.9988 0.2478 0.9977  -0.06
Se5 0.0012 0.7522 0.0023  -0.06
Se6 0.3328 0.4145 0.6655  0.02

Values from the calculation:
Space group: C2/m



Compound: SmPuNp2Se4
Source: Alexandria via LeMat-Bulk
Functional: PBE
Structure: relaxed

abc: 4.1096 7.1157 7.1937
angles: 109.27 90.00 90.00
Last column: magnetic moment on the atom in μB.
Fractional coordinates of all 8 atoms:
Sm1 0.0000 0.0000 0.0000  0.00
Pu1 0.5000 0.5000 0.0000  -5.33
Np1 0.5000 0.0000 0.5000  4.02
Np2 0.0000 0.5000 0.5000  4.03
Se1 0.5000 0.2525 0.2548  -0.03
Se2 0.5000 0.7475 0.7452  -0.03
Se3 0.0000 0.2504 0.7474  -0.01
Se4 0.0000 0.7496 0.2526  -0.01

Values from the calculation:
Space group: P2/m



Compound: TbPuNp2Se4
Source: Alexandria via LeMat-Bulk
Functional: PBE
Structure: relaxed

abc: 4.0815 7.1596 7.0861
angles: 109.20 90.00 90.00
Last column: magnetic moment on the atom in μB.
Fractional coordinates of all 8 atoms:
Tb1 0.0000 0.0000 0.0000  0.03
Pu1 0.5000 0.5000 0.0000  -5.35
Np1 0.5000 0.0000 0.5000  3.94
Np2 0.0000 0.5000 0.5000  -4.03
Se1 0.5000 0.2492 0.2487  0.03
Se2 0.5000 0.7508 0.7513  0.03
Se3 0.0000 0.2487 0.7499  0.01
Se4 0.0000 0.7513 0.2501  0.01

Values from the calculation:
Space group: P2/m



Compound: Tb2Pu3NpSe6
Source: Alexandria via LeMat-Bulk
Functional: PBE
Structure: relaxed

abc: 4.1070 8.2187 9.2521
angles: 102.84 102.82 90.00
Last column: magnetic moment on the atom in μB.
Fractional coordinates of all 12 atoms:
Tb1 0.8350 0.6683 0.6700  0.00
Tb2 0.1650 0.3317 0.3300  0.00
Pu1 0.5000 0.5000 0.0000  5.39
Pu2 0.8329 0.1663 0.6658  -5.38
Pu3 0.1671 0.8337 0.3342  -5.38
Np1 0.5000 0.0000 0.0000  4.03
Se1 0.3326 0.9148 0.6651  0.04
Se2 0.6687 0.5816 0.3373  0.02
Se3 0.6674 0.0852 0.3349  0.04
Se4 0.0007 0.2489 0.0013  -0.06
Se5 0.9993 0.7511 0.9987  -0.06
Se6 0.3313 0.4184 0.6627  0.02

Values from the calculation:
Space group: C2/m



no.,raw total energy (eV/cell),formation energy without anion corrections (eV per atom)
1,-122.852,-1.4454
2,-124.996,-1.1924
3,-130.282,-1.3712
4,-126.627,-1.3089
5,-68.224,-0.7893
6,-171.784,-1.1831
7,-113.349,-1.1172
8,-137.405,-1.1701
9,-104.922,-1.5533
10,-69.769,-1.3623
11,-69.569,-1.3484
12,-104.630,-1.5438